HgHPd6Pb2 | PBE | relaxed

The space group is Cm (No. 8) and the conventional cell measures 9.683, 5.685 and 7.022 Å, with angles of 90.00, 114.01 and 90.00 degrees. The inequivalent atoms are Hg at (0.000, 0.000, 0.000), H at (0.000, 0.500, 0.501), Pd at (0.084, 0.247, 0.374), Pd at (0.198, 0.500, 0.756), Pd at (0.303, 0.000, 0.244), Pd at (0.416, 0.253, 0.626), Pb at (0.233, 0.000, 0.787) and Pb at (0.267, 0.500, 0.213).

The raw total energy is -87.6 eV per cell.

=====

Hg2HPdPb | PBE | relaxed

The space group is P4/mmm (No. 123) and the conventional cell measures 5.538, 5.538 and 3.441 Å, with angles of 90.00, 90.00 and 90.00 degrees. The inequivalent atoms are Hg at (0.000, 0.500, 0.000), H at (0.000, 0.000, 0.500), Pd at (0.000, 0.000, 0.000) and Pb at (0.500, 0.500, 0.500).

The relative energy among the computed polymorphs comes out at 0 meV per atom.

=====

Rb2HgHPb | PBE | relaxed

The space group is P4/mmm (No. 123) and the conventional cell measures 5.964, 5.964 and 4.735 Å, with angles of 90.00, 90.00 and 90.00 degrees. The inequivalent atoms are Rb at (0.000, 0.500, 0.000), Hg at (0.000, 0.000, 0.500), H at (0.500, 0.500, 0.000) and Pb at (0.500, 0.500, 0.500).

The raw total energy is -9.3 eV per cell.

=====

| no. | magnetic moment (μB per formula unit) |
| --- | --- |
| 1 | 0.000 |
| 2 | 0.000 |
| 3 | 0.000 |